Model i:
Ba2PdCl: optimized geometry, GGA-PBE.

## Properties
- DOS(E_F) (states/eV/atom) = 0.641
- SG = R3m (160)
- calculated density (g/cm3) = 4.74

Cell lengths 4.495, 4.495, 8.731 Å; angles 75.08, 75.08, 60.00 degrees
Sites, in units of the cell vectors:
Ba  0.074  0.074  0.777
Ba  0.260  0.260  0.220
Pd  0.667  0.667  0.998
Cl  0.499  0.499  0.504

Model ii:
Ba2PdCl: optimized geometry, GGA-PBE.

## Properties
- DOS(E_F) (states/eV/atom) = 0.498
- SG = P4/mmm (123)
- calculated density (g/cm3) = 5.46

Cell lengths 3.883, 3.883, 8.399 Å; angles 90.00, 90.00, 90.00 degrees
Sites, in units of the cell vectors:
Cl  0.500  0.500  0.500
Pd  0.500  0.500  0.000
Ba  0.000  0.000  0.772
Ba  0.000  0.000  0.228

Model iii:
Ba2PdCl: optimized geometry, GGA-PBE.

## Properties
- DOS(E_F) (states/eV/atom) = 0.753
- SG = Fm-3m (225)
- calculated density (g/cm3) = 5.52

Cell lengths 5.618, 5.618, 5.618 Å; angles 60.00, 60.00, 60.00 degrees
Sites, in units of the cell vectors:
Pd  0.500  0.500  0.500
Ba  0.250  0.250  0.250
Ba  0.750  0.750  0.750
Cl  0.000  0.000  0.000

Model iv:
Ba2PdCl: optimized geometry, GGA-PBE.

## Properties
- DOS(E_F) (states/eV/atom) = 0.741
- SG = I-42d (122)
- calculated density (g/cm3) = 3.72

Cell lengths 7.191, 7.191, 8.799 Å; angles 65.88, 65.88, 90.00 degrees
Sites, in units of the cell vectors:
Cl  0.500  0.500  0.000
Cl  0.250  0.750  0.500
Ba  0.875  0.885  0.750
Ba  0.375  0.365  0.750
Ba  0.635  0.125  0.250
Ba  0.115  0.625  0.250
Pd  0.000  0.000  0.000
Pd  0.750  0.250  0.500

Which of them is the most stable? Correct choice: model i.

Model i:
BaPd2Cl8: optimized geometry, GGA-PBE.

## Properties
- DOS(E_F) (states/eV/atom) = 1.795
- SG = I422 (97)
- calculated density (g/cm3) = 3.20

Cell lengths 7.118, 7.118, 8.218 Å; angles 115.66, 115.66, 90.00 degrees
Site moments in Bohr magnetons follow the coordinates.
Sites, in units of the cell vectors:
Cl  0.971  0.797  0.251  0.11
Cl  0.545  0.720  0.749  0.11
Cl  0.797  0.280  0.251  0.11
Cl  0.720  0.203  0.749  0.11
Cl  0.029  0.545  0.749  0.11
Cl  0.455  0.971  0.251  0.11
Cl  0.280  0.455  0.251  0.11
Cl  0.203  0.029  0.749  0.11
Pd  0.750  0.250  0.500  0.48
Pd  0.250  0.750  0.500  0.48
Ba  0.500  0.500  0.000  0.01

Model ii:
BaPd2Cl8: optimized geometry, GGA-PBE.

## Properties
- DOS(E_F) (states/eV/atom) = 1.106
- SG = P-1 (2)
- calculated density (g/cm3) = 3.37

Cell lengths 5.340, 7.786, 9.374 Å; angles 126.61, 90.38, 90.98 degrees
Sites, in units of the cell vectors:
Pd  0.743  0.793  0.396
Pd  0.257  0.207  0.604
Cl  0.270  0.226  0.364
Cl  0.762  0.171  0.586
Cl  0.724  0.780  0.141
Cl  0.730  0.774  0.636
Cl  0.704  0.421  0.210
Cl  0.276  0.220  0.859
Cl  0.296  0.579  0.790
Cl  0.238  0.829  0.414
Ba  0.000  0.000  0.000

Which of them is the most stable? Correct choice: model ii.

Model i:
Ba3PdCl: optimized geometry, GGA-PBE.

## Properties
- DOS(E_F) (states/eV/atom) = 0.968
- SG = Pm-3m (221)
- calculated density (g/cm3) = 3.72

Cell lengths 6.274, 6.274, 6.274 Å; angles 90.00, 90.00, 90.00 degrees
Sites, in units of the cell vectors:
Ba  0.000  0.000  0.500
Ba  0.000  0.500  0.000
Ba  0.500  0.000  0.000
Cl  0.500  0.500  0.500
Pd  0.000  0.000  0.000

Model ii:
Ba3PdCl: optimized geometry, GGA-PBE.

## Properties
- DOS(E_F) (states/eV/atom) = 0.692
- SG = P2_1/m (11)
- calculated density (g/cm3) = 4.34

Cell lengths 4.567, 7.691, 12.344 Å; angles 101.91, 90.00, 90.00 degrees
Sites, in units of the cell vectors:
Ba  0.250  0.524  0.309
Ba  0.750  0.476  0.691
Ba  0.750  0.257  0.997
Ba  0.750  0.015  0.316
Ba  0.250  0.743  0.003
Ba  0.250  0.985  0.684
Cl  0.750  0.758  0.508
Cl  0.250  0.242  0.492
Pd  0.750  0.639  0.161
Pd  0.250  0.361  0.839

Which of them is the most stable? Correct choice: model ii.

Model i:
BaPtCl2: optimized geometry, GGA-PBE.

## Properties
- DOS(E_F) (states/eV/atom) = 0.413
- SG = I-4m2 (119)
- calculated density (g/cm3) = 6.60

Cell lengths 6.405, 6.405, 6.405 Å; angles 141.41, 141.41, 55.72 degrees
Sites, in units of the cell vectors:
Pt  0.500  0.500  0.000
Ba  0.750  0.250  0.500
Cl  0.250  0.750  0.500
Cl  0.000  0.000  0.000

Model ii:
BaPtCl2: optimized geometry, GGA-PBE.

## Properties
- SG = P4mm (99)
- calculated density (g/cm3) = 5.57

Cell lengths 4.431, 4.440, 6.114 Å; angles 90.00, 90.00, 90.00 degrees
Site moments in Bohr magnetons follow the coordinates.
Sites, in units of the cell vectors:
Ba  0.500  0.500  0.765  0.00
Cl  0.500  0.500  0.278  0.00
Cl  0.000  0.000  0.912  0.00
Pt  0.000  0.000  0.544  0.06

Which of them is the most stable? Correct choice: model ii.

Model i:
BaPtCl2: optimized geometry, GGA-PBE.

## Properties
- DOS(E_F) (states/eV/atom) = 0.278
- SG = C2/m (12)
- calculated density (g/cm3) = 5.78

Cell lengths 5.280, 5.442, 5.258 Å; angles 65.78, 81.36, 114.37 degrees
Sites, in units of the cell vectors:
Cl  0.500  0.000  0.500
Cl  0.000  0.000  0.000
Pt  0.000  0.500  0.500
Ba  0.500  0.500  0.000

Model ii:
BaPtCl2: optimized geometry, GGA-PBE.

## Properties
- DOS(E_F) (states/eV/atom) = 0.206
- SG = Immm (71)
- calculated density (g/cm3) = 6.74

Cell lengths 5.389, 5.389, 5.389 Å; angles 132.95, 115.51, 83.56 degrees
Sites, in units of the cell vectors:
Cl  0.949  0.949  0.000
Cl  0.551  0.551  0.000
Pt  0.750  0.250  0.500
Ba  0.250  0.750  0.500

Which of them is the most stable? Correct choice: model ii.

Model i:
BaPtCl2: optimized geometry, GGA-PBE.

## Properties
- DOS(E_F) (states/eV/atom) = 0.390
- SG = Pmmm (47)
- calculated density (g/cm3) = 6.64

Cell lengths 4.211, 5.613, 4.269 Å; angles 90.00, 90.00, 90.00 degrees
Sites, in units of the cell vectors:
Cl  0.000  0.000  0.000
Cl  0.500  0.500  0.000
Ba  0.000  0.500  0.500
Pt  0.500  0.000  0.500

Model ii:
BaPtCl2: optimized geometry, GGA-PBE.

## Properties
- DOS(E_F) (states/eV/atom) = 1.408
- SG = F-43m (216)
- calculated density (g/cm3) = 6.67

Cell lengths 5.218, 5.218, 5.218 Å; angles 60.00, 60.00, 60.00 degrees
Sites, in units of the cell vectors:
Pt  0.750  0.750  0.750
Cl  0.000  0.000  0.000
Cl  0.250  0.250  0.250
Ba  0.500  0.500  0.500

Model iii:
BaPtCl2: optimized geometry, GGA-PBE.

## Properties
- SG = Amm2 (38)
- calculated density (g/cm3) = 5.93

Cell lengths 4.374, 4.401, 6.261 Å; angles 69.48, 90.00, 90.00 degrees
Sites, in units of the cell vectors:
Pt  0.000  0.297  0.531
Cl  0.500  0.412  0.300
Cl  0.000  0.097  0.933
Ba  0.500  0.695  0.736

Model iv:
BaPtCl2: optimized geometry, GGA-PBE.

## Properties
- DOS(E_F) (states/eV/atom) = 0.105
- SG = P2/m (10)
- calculated density (g/cm3) = 6.14

Cell lengths 4.342, 5.016, 5.045 Å; angles 82.91, 90.00, 90.00 degrees
Sites, in units of the cell vectors:
Cl  0.000  0.044  0.043
Cl  0.000  0.456  0.457
Pt  0.500  0.250  0.250
Ba  0.500  0.750  0.750

Which of them is the most stable? Correct choice: model iii.

Model i:
BaPt2Cl: optimized geometry, GGA-PBE.

## Properties
- DOS(E_F) (states/eV/atom) = 1.195
- SG = Pmmm (47)
- calculated density (g/cm3) = 9.64

Cell lengths 3.237, 5.373, 5.575 Å; angles 90.00, 90.00, 90.00 degrees
Sites, in units of the cell vectors:
Pt  0.000  0.000  0.492
Pt  0.000  0.000  0.008
Ba  0.500  0.500  0.250
Cl  0.500  0.500  0.750

Model ii:
BaPt2Cl: optimized geometry, GGA-PBE.

## Properties
- DOS(E_F) (states/eV/atom) = 1.417
- SG = P4/mmm (123)
- calculated density (g/cm3) = 9.47

Cell lengths 4.019, 4.022, 6.106 Å; angles 90.00, 90.00, 90.00 degrees
Sites, in units of the cell vectors:
Pt  0.000  0.000  0.000
Pt  0.500  0.500  0.000
Ba  0.500  0.000  0.500
Cl  0.000  0.500  0.500

Which of them is the most stable? Correct choice: model ii.

Model i:
BaPtCl4: optimized geometry, GGA-PBE.

## Properties
- DOS(E_F) (states/eV/atom) = 1.151
- SG = F-43m (216)
- calculated density (g/cm3) = 5.11

Cell lengths 6.018, 6.018, 6.018 Å; angles 60.00, 60.00, 60.00 degrees
Site moments in Bohr magnetons follow the coordinates.
Sites, in units of the cell vectors:
Pt  0.750  0.750  0.750  0.44
Cl  0.375  0.375  0.874  0.37
Cl  0.375  0.874  0.375  0.37
Cl  0.874  0.375  0.375  0.37
Cl  0.375  0.375  0.375  0.37
Ba  0.000  0.000  0.000  0.00

Model ii:
BaPtCl4: optimized geometry, GGA-PBE.

## Properties
- DOS(E_F) (states/eV/atom) = 0.000
- SG = I-4 (82)
- calculated density (g/cm3) = 3.92

Cell lengths 6.403, 6.403, 6.403 Å; angles 112.28, 112.28, 103.99 degrees
Sites, in units of the cell vectors:
Pt  0.500  0.500  0.000
Cl  0.729  0.268  0.999
Cl  0.270  0.730  0.001
Cl  0.270  0.271  0.540
Cl  0.732  0.730  0.460
Ba  0.750  0.250  0.500

Which of them is the most stable? Correct choice: model ii.

Model i:
Rb2BaCl4: optimized geometry, GGA-PBE.

## Properties
- DOS(E_F) (states/eV/atom) = 0.000
- SG = I-42d (122)
- calculated density (g/cm3) = 3.26

Cell lengths 8.415, 8.415, 8.415 Å; angles 109.86, 109.86, 108.69 degrees
Sites, in units of the cell vectors:
Cl  0.106  0.721  0.749
Cl  0.777  0.529  0.884
Cl  0.279  0.027  0.384
Cl  0.643  0.894  0.616
Cl  0.107  0.223  0.751
Cl  0.471  0.356  0.249
Cl  0.973  0.357  0.251
Cl  0.644  0.893  0.116
Ba  0.000  0.000  0.000
Ba  0.750  0.250  0.500
Rb  0.875  0.737  0.362
Rb  0.263  0.625  0.138
Rb  0.375  0.513  0.638
Rb  0.487  0.125  0.862

Model ii:
Rb2BaCl4: optimized geometry, GGA-PBE.

## Properties
- DOS(E_F) (states/eV/atom) = 0.000
- SG = I4/mmm (139)
- calculated density (g/cm3) = 2.42

Cell lengths 6.007, 6.007, 9.547 Å; angles 108.34, 108.34, 90.00 degrees
Site moments in Bohr magnetons follow the coordinates.
Sites, in units of the cell vectors:
Cl  0.823  0.823  0.647  0.07
Cl  0.500  0.000  0.000  0.00
Cl  0.177  0.177  0.353  0.07
Cl  0.000  0.500  0.000  0.00
Rb  0.641  0.641  0.282  0.00
Rb  0.359  0.359  0.718  0.00
Ba  0.000  0.000  0.000  0.00

Which of them is the most stable? Correct choice: model i.

Model i:
Rb2BaCl4: optimized geometry, GGA-PBE.

## Properties
- DOS(E_F) (states/eV/atom) = 0.000
- SG = P4_122 (91)
- calculated density (g/cm3) = 2.41

Cell lengths 9.607, 9.607, 13.430 Å; angles 90.00, 90.00, 90.00 degrees
Site moments in Bohr magnetons follow the coordinates.
Sites, in units of the cell vectors:
Cl  0.233  0.023  0.981  0.01
Cl  0.023  0.767  0.731  0.01
Cl  0.532  0.768  0.253  0.07
Cl  0.977  0.767  0.269  0.01
Cl  0.768  0.532  0.497  0.07
Cl  0.768  0.468  0.003  0.07
Cl  0.468  0.768  0.747  0.07
Cl  0.023  0.233  0.769  0.01
Cl  0.767  0.023  0.019  0.01
Cl  0.977  0.233  0.231  0.01
Cl  0.532  0.232  0.247  0.07
Cl  0.232  0.532  0.503  0.07
Cl  0.233  0.977  0.519  0.01
Cl  0.468  0.232  0.753  0.07
Cl  0.232  0.468  0.997  0.07
Cl  0.767  0.977  0.481  0.01
Rb  0.249  0.249  0.375  0.00
Rb  0.500  0.250  0.000  0.00
Rb  0.500  0.750  0.500  0.00
Rb  0.750  0.500  0.250  0.00
Rb  0.751  0.751  0.875  0.00
Rb  0.249  0.751  0.125  0.00
Rb  0.751  0.249  0.625  0.00
Rb  0.250  0.500  0.750  0.00
Ba  0.000  0.751  0.500  0.00
Ba  0.249  0.000  0.750  0.00
Ba  0.751  0.000  0.250  0.00
Ba  0.000  0.249  0.000  0.00

Model ii:
Rb2BaCl4: optimized geometry, GGA-PBE.

## Properties
- DOS(E_F) (states/eV/atom) = 0.000
- SG = C2/m (12)
- calculated density (g/cm3) = 2.75

Cell lengths 4.465, 9.314, 8.551 Å; angles 126.23, 105.14, 90.00 degrees
Sites, in units of the cell vectors:
Rb  0.359  0.408  0.718
Rb  0.641  0.592  0.282
Cl  0.956  0.271  0.912
Cl  0.661  0.239  0.322
Cl  0.044  0.729  0.088
Cl  0.339  0.761  0.678
Ba  0.000  0.000  0.000

Which of them is the most stable? Correct choice: model i.